(1)
Computed, not measured: a relaxed Ca2BeBr2 crystal at the PBE-GGA level of DFT.

Values from the calculation:
Energy relative to the elements, uncorrected (meV per atom): -561.0
Symmetry: P4/mbm
Crystal system: tetragonal
V (Å³/f.u.): 146
DOS at the Fermi energy (states/eV/cell): 0.0

Geometry as extended XYZ:
```
10
Lattice="-0.3772 2.3206 7.6612 -6.3262 -4.7858 1.1381 2.7815 -3.3993 1.1666" Properties=species:S:1:pos:R:3 pbc="T T T"
Be 0.0000 0.0000 0.0000
Be -3.3517 -1.2326 4.3997
Ca -5.2923 -3.1759 3.3639
Ca -4.6253 -1.3684 7.0406
Ca -1.4112 0.7107 5.4354
Ca -2.0781 -1.0969 1.7587
Br -2.7730 -4.4605 2.4658
Br -4.2361 -4.2645 6.5257
Br -1.1490 -1.4040 7.5001
Br 0.3142 -1.6001 3.4402
```

***

(2)
Computed, not measured: a relaxed TaCuN2F crystal at the PBE-GGA level of DFT.

Values from the calculation:
Energy relative to the elements, uncorrected (meV per atom): -339.4
Symmetry: P4/mmm
Crystal system: tetragonal
V (Å³/f.u.): 66
DOS at the Fermi energy (states/eV/cell): 2.5

Geometry as extended XYZ:
```
5
Lattice="-2.9397 2.3938 -1.4225 -0.6414 -2.5950 -3.0414 -2.6898 -1.9682 2.2466" Properties=species:S:1:pos:R:3 pbc="T T T"
N -0.3207 -1.2975 -1.5207
N -1.4699 1.1969 -0.7112
F -1.3449 -0.9841 1.1233
Cu -3.1355 -1.0847 -1.1087
Ta 0.0000 0.0000 0.0000
```

***

(3)
Computed, not measured: a relaxed Ba6HIrAu2 crystal at the PBE-GGA level of DFT.

Values from the calculation:
Symmetry: P2_1/c
Crystal system: monoclinic
Final energy (eV per formula unit): -34.548
V (Å³/f.u.): 375
DOS at the Fermi energy (states/eV/cell): 12.6

Geometry as extended XYZ:
```
20
Lattice="-7.4617 1.8713 0.4090 -0.7448 -1.1288 -8.4241 -2.5264 -10.9855 1.6954" Properties=species:S:1:pos:R:3 pbc="T T T"
Ba -3.0622 -0.8540 -5.5520
Ba -8.1500 -5.5531 -5.5599
Ba -7.6707 -9.3890 -0.7677
Ba -2.5830 -4.6899 -0.7598
Ba -4.0188 -4.9580 -4.8691
Ba -9.1150 -9.6698 -4.9714
Ba -6.7141 -5.2850 -1.4506
Ba -1.6180 -0.5732 -1.3483
Ba -7.5106 -1.7089 -3.7326
Ba -5.3628 -8.6220 -6.7066
Ba -3.2223 -8.5341 -2.5871
Ba -5.3701 -1.6210 0.3869
H -4.9941 -4.5571 1.0522
H -0.3724 -0.5644 -4.2120
Ir -3.7308 0.9356 0.2045
Ir -1.6356 -6.0571 -3.3644
Au -1.6499 -3.6599 -7.0893
Au -6.4294 -7.8918 -3.6102
Au -9.0830 -6.5831 0.7696
Au -4.3035 -2.3512 -2.7095
```

***

(4)
Computed, not measured: a relaxed Ce5Si2Ge crystal at the PBE-GGA level of DFT.

Values from the calculation:
Energy relative to the elements, uncorrected (meV per atom): -579.2
Symmetry: I4/mcm
Crystal system: tetragonal
V (Å³/f.u.): 195
DOS at the Fermi energy (states/eV/cell): 42.6

Geometry as extended XYZ:
```
16
Lattice="7.0209 0.0000 -3.3142 -1.5645 6.8444 -3.3142 -0.2876 -0.3608 8.4844" Properties=species:S:1:pos:R:3 pbc="T T T"
Ce 2.4542 4.3199 1.9340
Ce 4.2326 6.5507 -3.3923
Ce 0.0000 0.0000 0.0000
Ce 2.7282 3.4222 -3.3142
Ce 0.9362 -0.0671 5.2482
Ce 4.2261 0.8977 3.1240
Ce -0.8357 3.3551 4.0583
Ce 0.9427 5.5859 -1.2680
Ce 6.0045 3.1285 -2.2024
Ce 2.7146 2.1637 -0.0781
Si 0.1992 2.6397 -1.6571
Si 4.1342 0.7825 -2.4149
Si 1.3222 6.0619 -4.2136
Si 5.2572 4.2047 -4.9714
Ge 3.9485 4.9529 -0.7292
Ge 1.2203 1.5307 2.5851
```